Compound: TlCu2I2
Source: the Alexandria database
Functional: meta-GGA SCAN
Structure: single point on PBEsol structure

Cell: 9.314 9.314 9.314 Å, 156.35 156.35 33.69°
Positions (direct):
Tl  0.000  0.000  0.000
Cu  0.250  0.750  0.500
Cu  0.750  0.250  0.500
I  0.354  0.354  0.000
I  0.646  0.646  0.000

## Properties
Formation energy (no corrections) (eV per atom): 0.09

Compound: TlCuI3
Source: the Alexandria database
Functional: meta-GGA SCAN
Structure: single point on PBEsol structure

Cell: 5.389 5.389 5.389 Å, 90.00 90.00 90.00°
Positions (direct):
Tl  0.000  0.000  0.000
Cu  0.500  0.500  0.500
I  0.000  0.500  0.500
I  0.500  0.000  0.500
I  0.500  0.500  0.000

## Properties
Formation energy (no corrections) (eV per atom): -0.24

Compound: Y2CuI
Source: the Alexandria database
Functional: meta-GGA SCAN
Structure: single point on PBEsol structure

Cell: 5.110 5.110 5.110 Å, 60.00 60.00 60.00°
Positions (direct):
Y  0.250  0.250  0.250
Y  0.750  0.750  0.750
Cu  0.000  0.000  0.000
I  0.500  0.500  0.500

## Properties
Formation energy (no corrections) (eV per atom): -0.18

Compound: YCu3I
Source: the Alexandria database
Functional: meta-GGA SCAN
Structure: single point on PBEsol structure

Cell: 4.832 4.832 4.832 Å, 90.00 90.00 90.00°
Positions (direct):
Y  0.000  0.000  0.000
Cu  0.000  0.500  0.500
Cu  0.500  0.000  0.500
Cu  0.500  0.500  0.000
I  0.500  0.500  0.500

## Properties
Formation energy (no corrections) (eV per atom): 0.88

Compound: YCu2I
Source: the Alexandria database
Functional: meta-GGA SCAN
Structure: single point on PBEsol structure

Cell: 4.840 4.840 4.840 Å, 60.00 60.00 60.00°
Positions (direct):
Y  0.000  0.000  0.000
Cu  0.250  0.250  0.250
Cu  0.750  0.750  0.750
I  0.500  0.500  0.500

## Properties
Formation energy (no corrections) (eV per atom): 0.27

Compound: ZrCu3I
Source: the Alexandria database
Functional: meta-GGA SCAN
Structure: single point on PBEsol structure

Cell: 4.710 4.710 4.710 Å, 90.00 90.00 90.00°
Positions (direct):
Zr  0.000  0.000  0.000
Cu  0.000  0.500  0.500
Cu  0.500  0.000  0.500
Cu  0.500  0.500  0.000
I  0.500  0.500  0.500

## Properties
Formation energy (no corrections) (eV per atom): 1.31

Compound: InCu2
Source: the Alexandria database
Functional: meta-GGA SCAN
Structure: single point on PBEsol structure

Cell: 5.037 5.037 15.756 Å, 90.00 90.00 120.00°
Positions (direct):
In  0.000  0.000  0.096
In  0.000  0.000  0.404
In  0.000  0.000  0.596
In  0.000  0.000  0.904
In  0.333  0.667  0.154
In  0.333  0.667  0.346
In  0.667  0.333  0.654
In  0.667  0.333  0.846
Cu  0.000  0.500  0.000
Cu  0.000  0.500  0.500
Cu  0.165  0.329  0.750
Cu  0.165  0.835  0.750
Cu  0.329  0.165  0.250
Cu  0.333  0.667  0.625
Cu  0.333  0.667  0.875
Cu  0.500  0.000  0.000
Cu  0.500  0.000  0.500
Cu  0.500  0.500  0.000
Cu  0.500  0.500  0.500
Cu  0.667  0.333  0.125
Cu  0.667  0.333  0.375
Cu  0.671  0.835  0.750
Cu  0.835  0.165  0.250
Cu  0.835  0.671  0.250

Compound: InCu5
Source: the Alexandria database
Functional: meta-GGA SCAN
Structure: single point on PBEsol structure

Cell: 2.995 2.995 8.630 Å, 90.00 90.00 90.00°
Positions (direct):
In  0.000  0.000  0.000
Cu  0.000  0.000  0.351
Cu  0.000  0.000  0.649
Cu  0.500  0.500  0.202
Cu  0.500  0.500  0.500
Cu  0.500  0.500  0.798

Compound: In3Cu
Source: the Alexandria database
Functional: meta-GGA SCAN
Structure: single point on PBEsol structure

Cell: 4.135 4.233 5.448 Å, 90.00 109.56 90.00°
Positions (direct):
In  0.000  0.000  0.000
In  0.372  0.500  0.718
In  0.628  0.500  0.282
Cu  0.000  0.000  0.500

Compound: InCu
Source: the Alexandria database
Functional: meta-GGA SCAN
Structure: single point on PBEsol structure

Cell: 6.568 6.568 6.568 Å, 153.88 64.82 121.84°
Positions (direct):
In  0.000  0.000  0.000
In  0.109  0.810  0.299
In  0.511  0.810  0.701
Cu  0.428  0.428  0.000
Cu  0.585  0.195  0.390
Cu  0.804  0.195  0.610

Compound: In3Cu7
Source: the Alexandria database
Functional: meta-GGA SCAN
Structure: single point on PBEsol structure

Cell: 7.176 7.176 5.396 Å, 103.27 103.27 31.54°
Positions (direct):
In  0.000  0.000  0.000
In  0.195  0.195  0.620
In  0.805  0.805  0.380
Cu  0.000  0.000  0.500
Cu  0.200  0.200  0.105
Cu  0.401  0.401  0.190
Cu  0.405  0.405  0.690
Cu  0.595  0.595  0.310
Cu  0.599  0.599  0.810
Cu  0.800  0.800  0.895

Compound: InCu5
Source: the Alexandria database
Functional: meta-GGA SCAN
Structure: single point on PBEsol structure

Cell: 4.579 4.579 5.364 Å, 107.97 107.97 46.55°
Positions (direct):
In  0.000  0.000  0.000
Cu  0.000  0.000  0.500
Cu  0.326  0.326  0.650
Cu  0.334  0.334  0.184
Cu  0.666  0.666  0.816
Cu  0.674  0.674  0.350

What E_tot values result from the calculations? In sequence: -175.81 -199.00 -108.33 -105.76 -93.91 -106.47 -510.09 -108.99 -114.78 -145.33 -205.89 -109.16 eV/cell.
What calculated density values result from the calculations? In sequence: 7.5 6.9 6.5 6.0 7.1 6.5 9.3 9.3 7.5 8.5 9.3 9.3 Mg/m³.